Compound: HfTi2SnW
Source: Alexandria via LeMat-Bulk
Functional: PBE
Structure: relaxed

Geometry as CIF:
```
data_HfTi2SnW
_chemical_formula_sum 'Hf1 Ti2 Sn1 W1'
_cell_length_a 4.7553
_cell_length_b 4.7553
_cell_length_c 5.1362
_cell_angle_alpha 90.00
_cell_angle_beta 90.00
_cell_angle_gamma 90.00
_space_group_name_H-M_alt 'P 4/m m m'
_space_group_IT_number 123
_space_group_name_Hall '-P 4 2'
loop_
_atom_site_label
_atom_site_fract_x
_atom_site_fract_y
_atom_site_fract_z
Hf1 0.0000 0.0000 0.0000
Ti1 0.0000 0.5000 0.5000
Sn1 0.5000 0.5000 0.0000
W1 0.0000 0.0000 0.5000
```

Crystal system: tetragonal
E_form: 718 meV per atom
DOS at the Fermi energy: 1.12 states/eV/atom
Calculated volume: 23.2 Å³/atom
Size of the total moment: 0.30 μB per atom

---

Compound: Mo3Au
Source: Alexandria via LeMat-Bulk
Functional: PBE
Structure: relaxed

Geometry as CIF:
```
data_Mo3Au
_chemical_formula_sum 'Mo12 Au4'
_cell_length_a 6.4035
_cell_length_b 6.4035
_cell_length_c 6.4035
_cell_angle_alpha 90.00
_cell_angle_beta 90.00
_cell_angle_gamma 90.00
_space_group_name_H-M_alt 'F m -3 m'
_space_group_IT_number 225
_space_group_name_Hall '-F 4 2 3'
loop_
_atom_site_label
_atom_site_fract_x
_atom_site_fract_y
_atom_site_fract_z
Mo1 0.0000 0.0000 0.0000
Mo2 0.2500 0.2500 0.2500
Au1 0.0000 0.0000 0.5000
```

Crystal system: cubic
E_form: 419 meV per atom
DOS at the Fermi energy: 1.33 states/eV/atom
Calculated volume: 16.4 Å³/atom
Size of the total moment: 0.00 μB per atom

---

Compound: TbEuTl2
Source: Alexandria via LeMat-Bulk
Functional: PBE
Structure: relaxed

Geometry as CIF:
```
data_TbEuTl2
_chemical_formula_sum 'Tb3 Eu3 Tl6'
_cell_length_a 3.8108
_cell_length_b 3.8108
_cell_length_c 29.9829
_cell_angle_alpha 90.00
_cell_angle_beta 90.00
_cell_angle_gamma 120.00
_space_group_name_H-M_alt 'R -3 m'
_space_group_IT_number 166
_space_group_name_Hall '-R 3 2"'
loop_
_atom_site_label
_atom_site_fract_x
_atom_site_fract_y
_atom_site_fract_z
Tb1 0.0000 0.0000 0.0000
Eu1 0.0000 0.0000 0.5000
Tl1 0.0000 0.0000 0.2527
```

Crystal system: trigonal
E_form: -261 meV per atom
DOS at the Fermi energy: 2.20 states/eV/atom
Calculated volume: 31.4 Å³/atom
Size of the total moment: 1.82 μB per atom

---

Compound: RbPS3
Source: Alexandria via LeMat-Bulk
Functional: PBE
Structure: relaxed

Geometry as CIF:
```
data_RbPS3
_chemical_formula_sum 'Rb1 P1 S3'
_cell_length_a 4.7602
_cell_length_b 4.7602
_cell_length_c 4.7602
_cell_angle_alpha 90.00
_cell_angle_beta 90.00
_cell_angle_gamma 90.00
_space_group_name_H-M_alt 'P m -3 m'
_space_group_IT_number 221
_space_group_name_Hall '-P 4 2 3'
loop_
_atom_site_label
_atom_site_fract_x
_atom_site_fract_y
_atom_site_fract_z
Rb1 0.0000 0.0000 0.0000
P1 0.5000 0.5000 0.5000
S1 0.0000 0.5000 0.5000
```

Crystal system: cubic
Formation energy (no corrections): -49 meV/atom
DOS at the Fermi energy: 1.14 states/eV/atom
Calculated volume: 21.6 Å³/atom
Size of the total moment: 0.00 μB per atom

---

Compound: YMnAl
Source: Alexandria via LeMat-Bulk
Functional: PBE
Structure: relaxed

Geometry as CIF:
```
data_YMnAl
_chemical_formula_sum 'Y4 Mn4 Al4'
_cell_length_a 6.5395
_cell_length_b 6.5395
_cell_length_c 6.5395
_cell_angle_alpha 90.00
_cell_angle_beta 90.00
_cell_angle_gamma 90.00
_space_group_name_H-M_alt 'F -4 3 m'
_space_group_IT_number 216
_space_group_name_Hall 'F -4 2 3'
loop_
_atom_site_label
_atom_site_fract_x
_atom_site_fract_y
_atom_site_fract_z
Y1 0.0000 0.0000 0.0000
Mn1 0.2500 0.2500 0.2500
Al1 0.0000 0.0000 0.5000
```

Crystal system: cubic
E_form: 225 meV per atom
DOS at the Fermi energy: 1.67 states/eV/atom
Calculated volume: 23.3 Å³/atom
Size of the total moment: 1.46 μB per atom

---

Compound: Tb3HgHSe
Source: Alexandria via LeMat-Bulk
Functional: PBE
Structure: relaxed

Geometry as CIF:
```
data_Tb3HgHSe
_chemical_formula_sum 'Tb6 Hg2 H2 Se2'
_cell_length_a 8.4015
_cell_length_b 4.0422
_cell_length_c 8.7195
_cell_angle_alpha 90.00
_cell_angle_beta 102.45
_cell_angle_gamma 90.00
_space_group_name_H-M_alt 'P 1 21/m 1'
_space_group_IT_number 11
loop_
_space_group_symop_operation_xyz
'x,y,z'
'-x,-y,-z'
'-x,y+1/2,-z'
'x,-y+1/2,z'
loop_
_atom_site_label
_atom_site_fract_x
_atom_site_fract_y
_atom_site_fract_z
Tb1 0.0791 0.2500 0.3168
Tb2 0.3216 0.2500 0.9806
Tb3 0.3965 0.7500 0.6349
Hg1 0.3257 0.7500 0.2494
H1 0.4108 0.7500 0.9008
Se1 0.1552 0.2500 0.6550
```

Crystal system: monoclinic
DOS at the Fermi energy: 0.48 states/eV/atom
Calculated volume: 24.1 Å³/atom
Size of the total moment: 0.00 μB per atom

---

Compound: ZnTeSe2
Source: Alexandria via LeMat-Bulk
Functional: PBE
Structure: relaxed

Geometry as CIF:
```
data_ZnTeSe2
_chemical_formula_sum 'Zn2 Te2 Se4'
_cell_length_a 3.7718
_cell_length_b 3.7761
_cell_length_c 17.3802
_cell_angle_alpha 90.00
_cell_angle_beta 90.00
_cell_angle_gamma 90.00
_space_group_name_H-M_alt 'I m m m'
_space_group_IT_number 71
_space_group_name_Hall '-I 2 2'
loop_
_atom_site_label
_atom_site_fract_x
_atom_site_fract_y
_atom_site_fract_z
Zn1 0.0000 0.0000 0.0000
Te1 0.0000 0.0000 0.5000
Se1 0.0000 0.5000 0.2616
```

Crystal system: orthorhombic
Formation energy (no corrections): 123 meV/atom
DOS at the Fermi energy: 0.40 states/eV/atom
Calculated volume: 30.9 Å³/atom
Size of the total moment: 0.00 μB per atom

---

Compound: MgNi2Pd
Source: Alexandria via LeMat-Bulk
Functional: PBE
Structure: relaxed

Geometry as CIF:
```
data_MgNi2Pd
_chemical_formula_sum 'Mg4 Ni8 Pd4'
_cell_length_a 3.5833
_cell_length_b 3.5833
_cell_length_c 18.1995
_cell_angle_alpha 90.00
_cell_angle_beta 90.00
_cell_angle_gamma 90.00
_space_group_name_H-M_alt 'I -4 2 d'
_space_group_IT_number 122
_space_group_name_Hall 'I -4 2bw'
loop_
_atom_site_label
_atom_site_fract_x
_atom_site_fract_y
_atom_site_fract_z
Mg1 0.0000 0.0000 0.0000
Ni1 0.2408 0.2500 0.6250
Pd1 0.0000 0.0000 0.5000
```

Crystal system: tetragonal
E_form: 131 meV per atom
DOS at the Fermi energy: 1.06 states/eV/atom
Calculated volume: 14.6 Å³/atom
Size of the total moment: 0.04 μB per atom

---

| no. | final energy (eV per cell) |
| --- | --- |
| 1 | -39.11 |
| 2 | -136.37 |
| 3 | -62.04 |
| 4 | -19.00 |
| 5 | -74.80 |
| 6 | -52.66 |
| 7 | -21.79 |
| 8 | -71.31 |